A plane-wave DFT calculation with PBE was carried out for a geometry-optimized SmDy2HgC structure.

Lattice parameters (Å, degrees): 4.885 4.885 5.072 90.00 90.00 90.00
Space group P4/mmm (No. 123)
Symmetry-distinct sites (fractional):
Sm: 0.000 0.000 0.000 [1 per cell]
Dy: 0.000 0.500 0.500 [2 per cell]
Hg: 0.500 0.500 0.000 [1 per cell]
C: 0.000 0.000 0.500 [1 per cell]

Results
ΔH_f (0 K) = -330 meV per atom
total magnetization = 0.0 Bohr magnetons per cell
volume = 121 Å³/cell


A plane-wave DFT calculation with PBE was carried out for a geometry-optimized Mg3TlIn structure.

Lattice parameters (Å, degrees): 8.600 4.970 6.076 90.00 90.03 90.00
Space group Cm (No. 8)
Symmetry-distinct sites (fractional):
Mg: 0.000 0.000 0.000 [2 per cell]
Mg: 0.000 0.000 0.487 [2 per cell]
Mg: 0.167 0.500 0.743 [2 per cell]
Tl: 0.333 0.000 0.744 [2 per cell]
In: 0.166 0.500 0.243 [2 per cell]

Results
ΔH_f (0 K) = 18 meV per atom
polymorph energy (0 for the lowest one) = 0.000 eV per atom
total magnetization = 0.0 Bohr magnetons per cell
volume = 260 Å³/cell


A plane-wave DFT calculation with PBE was carried out for a geometry-optimized CeTmBi2 structure.

Lattice parameters (Å, degrees): 4.128 4.128 6.876 90.00 90.00 90.00
Space group P4/mmm (No. 123)
Symmetry-distinct sites (fractional):
Ce: 0.000 0.000 0.000 [1 per cell]
Tm: 0.000 0.000 0.500 [1 per cell]
Bi: 0.500 0.500 0.254 [2 per cell]

Results
ΔH_f (0 K) = -590 meV per atom
polymorph energy (0 for the lowest one) = 0.197 eV per atom
total magnetization = 1.0 Bohr magnetons per cell
volume = 117 Å³/cell


A plane-wave DFT calculation with PBE was carried out for a geometry-optimized Ac12TlRh6 structure.

Lattice parameters (Å, degrees): 10.799 10.799 10.799 90.00 90.00 90.00
Space group Im-3 (No. 204)
Symmetry-distinct sites (fractional):
Ac: 0.000 0.182 0.312 [24 per cell]
Tl: 0.000 0.000 0.000 [2 per cell]
Rh: 0.000 0.368 0.500 [12 per cell]

Results
ΔH_f (0 K) = -521 meV per atom
total magnetization = 0.0 Bohr magnetons per cell
volume = 1259 Å³/cell


A plane-wave DFT calculation with PBE was carried out for a geometry-optimized NbCr structure.

Lattice parameters (Å, degrees): 2.795 4.302 5.096 90.00 100.58 90.00
Space group P2_1/m (No. 11)
Symmetry-distinct sites (fractional):
Nb: 0.128 0.250 0.360 [2 per cell]
Cr: 0.380 0.750 0.119 [2 per cell]

Results
ΔH_f (0 K) = 138 meV per atom
total magnetization = 0.0 Bohr magnetons per cell
volume = 60 Å³/cell


A plane-wave DFT calculation with PBE was carried out for a geometry-optimized KSn4Au4 structure.

Lattice parameters (Å, degrees): 7.127 7.127 9.284 90.00 90.00 90.00
Space group P4_2/nmc (No. 137, origin choice 2)
Symmetry-distinct sites (fractional):
K: 0.250 0.750 0.250 [2 per cell]
Sn: 0.003 0.250 0.112 [8 per cell]
Au: 0.050 0.250 0.413 [8 per cell]

Results
ΔH_f (0 K) = -248 meV per atom
polymorph energy (0 for the lowest one) = 0.000 eV per atom
total magnetization = 0.0 Bohr magnetons per cell
volume = 472 Å³/cell


A plane-wave DFT calculation with PBE was carried out for a geometry-optimized RhSeNO2 structure.

Lattice parameters (Å, degrees): 3.922 3.922 3.888 90.00 90.00 90.00
Space group P4/mmm (No. 123)
Symmetry-distinct sites (fractional):
Rh: 0.000 0.000 0.000 [1 per cell]
Se: 0.500 0.500 0.500 [1 per cell]
N: 0.000 0.000 0.500 [1 per cell]
O: 0.000 0.500 0.000 [2 per cell]

Results
E_form (uncorrected) = 0.63 eV per atom
total magnetization = 0.0 Bohr magnetons per cell
volume = 60 Å³/cell


A plane-wave DFT calculation with PBE was carried out for a geometry-optimized BaCIN2 structure.

Lattice parameters (Å, degrees): 4.622 4.622 4.428 90.00 90.00 90.00
Space group P4/mmm (No. 123)
Symmetry-distinct sites (fractional):
Ba: 0.000 0.000 0.000 [1 per cell]
C: 0.500 0.500 0.500 [1 per cell]
I: 0.500 0.500 0.000 [1 per cell]
N: 0.000 0.500 0.500 [2 per cell]

Results
E_form (uncorrected) = 1.85 eV per atom
polymorph energy (0 for the lowest one) = 0.000 eV per atom
total magnetization = 2.7 Bohr magnetons per cell
volume = 95 Å³/cell


A plane-wave DFT calculation with PBE was carried out for a geometry-optimized ZrInAs structure.

Lattice parameters (Å, degrees): 6.636 6.636 6.636 90.00 90.00 90.00
Space group F-43m (No. 216)
Symmetry-distinct sites (fractional):
Zr: 0.000 0.000 0.000 [4 per cell]
In: 0.000 0.000 0.500 [4 per cell]
As: 0.250 0.250 0.750 [4 per cell]

Results
ΔH_f (0 K) = -17 meV per atom
polymorph energy (0 for the lowest one) = 0.625 eV per atom
total magnetization = 0.0 Bohr magnetons per cell
volume = 292 Å³/cell


A plane-wave DFT calculation with PBE was carried out for a geometry-optimized Ti2ZnSn structure.

Lattice parameters (Å, degrees): 4.0962 4.0962 17.2190 90.00 90.00 120.00
Space group R3m (No. 160, hexagonal axes)
Symmetry-distinct sites (fractional):
Ti: 0.0000 0.0000 0.0000 [3 per cell]
Ti: 0.0000 0.0000 0.1627 [3 per cell]
Zn: 0.0000 0.0000 0.7503 [3 per cell]
Sn: 0.0000 0.0000 0.5809 [3 per cell]

Results
ΔH_f (0 K) = 224 meV per atom
total magnetization = 4.4 Bohr magnetons per cell
volume = 250 Å³/cell


A plane-wave DFT calculation with PBE was carried out for a geometry-optimized BC2 structure.

Lattice parameters (Å, degrees): 3.575 11.784 3.644 90.00 90.00 90.00
Space group C222 (No. 21)
Symmetry-distinct sites (fractional):
B: 0.000 0.150 0.000 [4 per cell]
B: 0.250 0.250 0.715 [4 per cell]
C: 0.000 0.000 0.500 [2 per cell]
C: 0.000 0.350 0.500 [4 per cell]
C: 0.000 0.500 0.000 [2 per cell]
C: 0.245 0.424 0.254 [8 per cell]

Results
ΔH_f (0 K) = 349 meV per atom
polymorph energy (0 for the lowest one) = 0.109 eV per atom
total magnetization = 0.0 Bohr magnetons per cell
volume = 154 Å³/cell


A plane-wave DFT calculation with PBE was carried out for a geometry-optimized HF structure.

Lattice parameters (Å, degrees): 3.891 9.011 10.575 90.00 90.00 90.00
Space group Fddd (No. 70, origin choice 2)
Symmetry-distinct sites (fractional):
H: 0.125 0.125 0.373 [16 per cell]
F: 0.125 0.307 0.125 [16 per cell]

Results
polymorph energy (0 for the lowest one) = 0.016 eV per atom
total magnetization = 0.0 Bohr magnetons per cell
volume = 371 Å³/cell


| no. | E (eV per atom) |
| --- | --- |
| 1 | -5.020 |
| 2 | -1.959 |
| 3 | -5.131 |
| 4 | -5.562 |
| 5 | -9.709 |
| 6 | -3.605 |
| 7 | -5.182 |
| 8 | -4.018 |
| 9 | -5.329 |
| 10 | -5.042 |
| 11 | -8.026 |
| 12 | -4.194 |